1.
CaAc6Pr4: optimized geometry, PBE.

a b c (Å): 8.7811 8.7811 8.9914
angles (deg): 119.23 119.23 90.00
Sites, in units of the cell vectors:
Ac 0.4053 0.0382 0.4434
Pr 0.0948 0.7725 0.8672
Pr 0.7725 0.0948 0.8672
Pr 0.2275 0.2275 0.1328
Ac 0.0000 0.5000 0.0000
Ac 0.0382 0.4053 0.4434
Ac 0.9618 0.9618 0.5566
Pr 0.9052 0.9052 0.1328
Ac 0.5947 0.5947 0.5566
Ac 0.5000 0.0000 0.0000
Ca 0.5000 0.5000 0.0000

Total energy: -42.60 eV/cell
DOS(E_F): 14.6 states/eV per cell
DFT formation energy: 288 meV/atom


2.
Sm6SnTe2Se3: optimized geometry, PBE.

a b c (Å): 4.2971 8.6828 9.6775
angles (deg): 103.12 102.83 90.00
Sites, in units of the cell vectors:
Te 0.8310 0.6620 0.6620
Te 0.1690 0.3380 0.3379
Sm 0.6582 0.6005 0.3164
Se 0.8317 0.1657 0.6634
Sm 0.3326 0.9337 0.6651
Sm 0.6674 0.0663 0.3349
Sm 0.3418 0.3995 0.6836
Se 0.5000 0.5000 0.0000
Sn 0.5000 0.0000 0.0000
Sm 0.0045 0.7467 0.0089
Se 0.1683 0.8343 0.3366
Sm 0.9955 0.2533 0.9911

Total energy: -67.22 eV/cell
DOS(E_F): 4.6 states/eV per cell


3.
Ca2Pd3O8: optimized geometry, PBE.

a b c (Å): 5.2817 6.2475 6.3819
angles (deg): 119.31 107.31 90.00
Sites, in units of the cell vectors:
O 0.6050 0.1129 0.7814
Pd 0.5000 0.0000 0.0000
Ca 0.6538 0.7187 0.4374
O 0.6050 0.6686 0.7814
O 0.9447 0.6040 0.2081
O 0.9072 0.0992 0.1983
O 0.0928 0.9008 0.8017
Pd 0.0000 0.2534 0.0000
O 0.3950 0.3314 0.2186
O 0.3950 0.8871 0.2186
Ca 0.3462 0.2813 0.5626
O 0.0553 0.3960 0.7919
Pd 0.0000 0.7466 0.0000

Total energy: -75.48 eV/cell


4.
Sr2DyMg12Hg3: optimized geometry, PBE.

a b c (Å): 9.5624 9.5624 9.5624
angles (deg): 55.55 55.55 55.55
Sites, in units of the cell vectors:
Mg 0.2228 0.8649 0.2228
Mg 0.7772 0.7772 0.1351
Mg 0.5477 0.1713 0.1713
Hg 0.0000 0.5000 0.0000
Hg 0.5000 0.0000 0.0000
Dy 0.0000 0.0000 0.0000
Sr 0.5830 0.5830 0.5830
Mg 0.4523 0.8287 0.8287
Mg 0.8649 0.2228 0.2228
Mg 0.1713 0.1713 0.5477
Mg 0.7772 0.1351 0.7772
Mg 0.2228 0.2228 0.8649
Mg 0.1351 0.7772 0.7772
Mg 0.1713 0.5477 0.1713
Mg 0.8287 0.8287 0.4523
Sr 0.4170 0.4170 0.4170
Hg 0.0000 0.0000 0.5000
Mg 0.8287 0.4523 0.8287

Total energy: -25.88 eV/cell
DOS(E_F): 10.7 states/eV per cell
DFT formation energy: 118 meV/atom


5.
Sm3HoMg3: optimized geometry, PBE.

a b c (Å): 7.7838 7.7838 7.0514
angles (deg): 89.98 89.98 92.80
Sites, in units of the cell vectors:
Sm 0.0000 0.0000 0.7532
Sm 0.0001 0.4998 0.2529
Mg 0.7441 0.2559 0.0000
Mg 0.3168 0.6832 0.5000
Ho 0.6889 0.6889 0.0004
Mg 0.2802 0.2802 0.5000
Sm 0.0000 0.0000 0.2468
Sm 0.9999 0.5002 0.7471
Mg 0.6832 0.3168 0.5000
Sm 0.4998 0.0001 0.2529
Mg 0.2559 0.7441 0.0000
Sm 0.5002 0.9999 0.7471
Ho 0.3111 0.3111 0.9996
Mg 0.7198 0.7198 0.5000

Relative energy among the computed polymorphs: 0 meV per atom
Total energy: -46.02 eV/cell
DOS(E_F): 11.5 states/eV per cell
DFT formation energy: 72 meV/atom


6.
CsBa2NaO: optimized geometry, PBE.

a b c (Å): 5.4767 5.4767 7.1613
angles (deg): 90.00 90.00 90.00
Sites, in units of the cell vectors:
Ba 0.0000 0.5000 0.0000
Ba 0.5000 0.0000 0.0000
O 0.0000 0.0000 0.0000
Cs 0.0000 0.0000 0.5000
Na 0.5000 0.5000 0.5000

Total energy: -15.09 eV/cell
DOS(E_F): 3.9 states/eV per cell


7.
LaDyAl2Zn2: optimized geometry, PBE.

a b c (Å): 4.5339 4.5339 7.5555
angles (deg): 90.00 90.00 120.00
Sites, in units of the cell vectors:
Al 0.6667 0.3333 0.2776
Al 0.3333 0.6667 0.7224
Zn 0.6667 0.3333 0.7119
Dy 0.0000 0.0000 0.5000
Zn 0.3333 0.6667 0.2881
La 0.0000 0.0000 0.0000

Total energy: -22.26 eV/cell
DOS(E_F): 3.7 states/eV per cell
DFT formation energy: -449 meV/atom


8.
TaCuSi2: optimized geometry, PBE.

a b c (Å): 3.9410 2.8438 5.1257
angles (deg): 90.00 90.00 90.00
Sites, in units of the cell vectors:
Si 0.0000 0.7501 0.0063
Ta 0.5000 0.2500 0.2500
Cu 0.5000 0.7500 0.7500
Si 0.0000 0.7499 0.4937

Total energy: -27.42 eV/cell
DOS(E_F): 1.5 states/eV per cell


9.
YErSn: optimized geometry, PBE.

a b c (Å): 3.8226 5.1005 5.1005
angles (deg): 120.00 90.00 90.00
Sites, in units of the cell vectors:
Sn 0.0181 0.0000 0.0000
Er 0.2648 0.6667 0.3333
Y 0.7170 0.3333 0.6667

Relative energy among the computed polymorphs: 249 meV per atom
Total energy: -16.12 eV/cell
DOS(E_F): 2.8 states/eV per cell
DFT formation energy: -362 meV/atom


10.
MnRe2I: optimized geometry, PBE.

a b c (Å): 4.4886 4.4886 4.4886
angles (deg): 60.00 60.00 60.00
Sites, in units of the cell vectors:
I 0.5000 0.5000 0.5000
Re 0.2500 0.2500 0.2500
Re 0.7500 0.7500 0.7500
Mn 0.0000 0.0000 0.0000

Relative energy among the computed polymorphs: 0 meV per atom
Total energy: -31.30 eV/cell
DOS(E_F): 3.3 states/eV per cell


11.
Zr3CdH3: optimized geometry, PBE.

a b c (Å): 5.6272 5.6272 8.4904
angles (deg): 70.65 70.65 60.00
Sites, in units of the cell vectors:
H 0.8583 0.5250 0.4245
H 0.8077 0.1417 0.5755
Zr 0.8973 0.2318 0.3098
Zr 0.1027 0.7682 0.6902
Zr 0.5610 0.8973 0.3098
H 0.4750 0.8077 0.5755
H 0.5250 0.1923 0.4245
Zr 0.2318 0.5610 0.3098
H 0.1923 0.8583 0.4245
Zr 0.4390 0.1027 0.6902
Zr 0.7682 0.4390 0.6902
Cd 0.6666 0.6666 0.0002
H 0.1417 0.4750 0.5755
Cd 0.3334 0.3334 0.9998

Relative energy among the computed polymorphs: 163 meV per atom
Total energy: -76.00 eV/cell
DOS(E_F): 7.7 states/eV per cell


12.
AlPtAuC2: optimized geometry, PBE.

a b c (Å): 3.9184 5.4785 3.9184
angles (deg): 90.00 90.00 90.00
Sites, in units of the cell vectors:
Au 0.0000 0.0000 0.0000
C 0.5000 0.0000 0.0000
C 0.0000 0.0000 0.5000
Al 0.5000 0.5000 0.5000
Pt 0.0000 0.5000 0.0000

Total energy: -21.72 eV/cell
DOS(E_F): 2.1 states/eV per cell
DFT formation energy: 1957 meV/atom


Computed spin magnetization, in the same sequence as the records: 0.00 0.00 0.00 0.00 0.00 0.00 0.00 0.00 0.00 2.84 0.01 0.15 μB/cell.